Entry from Alexandria via LeMat-Bulk: a relaxed Ho2CuTe crystal (PBE-GGA).

Geometry as POSCAR:
```
Ho2CuTe
1.0
2.0352 1.1750 7.2958
-2.0352 1.1750 7.2958
0.0000 -2.3500 7.2958
Ho Cu Te
2 1 1
Cartesian
0.0000 0.0000 5.2631
0.0000 0.0000 16.6243
0.0000 0.0000 10.9437
0.0000 0.0000 0.0000
```

Properties
total moment: 0.00 μB/f.u.
energy above the most stable polymorph in this dataset: 68 meV per atom

=====

Entry from Alexandria via LeMat-Bulk: a relaxed Ho8Cu2Te crystal (PBE-GGA).

Geometry as POSCAR:
```
Ho8Cu2Te
1.0
4.2656 -6.5959 0.0000
4.2656 6.5959 0.0000
-1.4467 0.0000 5.3454
Ho Cu Te
8 2 1
Cartesian
0.8948 1.6540 3.2217
4.2656 3.3746 0.0000
0.8948 -1.6540 3.2217
3.1031 0.0000 1.0789
3.9814 0.0000 4.2665
6.1897 1.6540 2.1237
4.2656 -3.3746 0.0000
6.1897 -1.6540 2.1237
3.5423 2.5880 2.6727
3.5423 -2.5880 2.6727
0.0000 0.0000 0.0000
```

Properties
total moment: 0.04 μB/f.u.

=====

Entry from Alexandria via LeMat-Bulk: a relaxed Ho3CuTe6 crystal (PBE-GGA).

Geometry as POSCAR:
```
Ho3CuTe6
1.0
6.0929 -6.8396 0.0000
6.0929 6.8396 0.0000
0.0000 0.0000 7.4349
Ho Cu Te
6 2 12
Cartesian
6.0929 5.4064 3.7174
3.9853 1.3291 4.4331
3.9853 -1.3291 0.7157
8.2005 1.3291 4.4331
8.2005 -1.3291 0.7157
6.0929 -5.4064 0.0000
6.0929 2.9935 1.0561
6.0929 -2.9935 4.7736
3.9645 3.6645 2.3095
1.9942 0.5157 2.2303
1.9942 -0.5157 5.9478
6.0929 3.0612 5.8716
8.2213 3.6645 2.3095
6.0929 0.5845 2.1584
6.0929 -0.5845 5.8758
3.9645 -3.6645 6.0270
6.0929 -3.0612 2.1541
10.1916 0.5157 2.2303
10.1916 -0.5157 5.9478
8.2213 -3.6645 6.0270
```

Properties
total moment: 0.00 μB/f.u.

=====

Entry from Alexandria via LeMat-Bulk: a relaxed Ho7Cu2Te2 crystal (PBE-GGA).

Geometry as POSCAR:
```
Ho7Cu2Te2
1.0
3.8215 -5.2502 0.0000
3.8215 5.2502 0.0000
0.0000 0.0000 7.7168
Ho Cu Te
7 2 2
Cartesian
0.0000 0.0000 0.0000
1.9108 2.6251 2.2775
1.9108 2.6251 5.4392
1.9108 -2.6251 2.2775
1.9108 -2.6251 5.4392
3.8215 0.0000 2.2308
3.8215 0.0000 5.4859
1.3391 0.0000 3.8584
6.3039 0.0000 3.8584
3.8215 2.1903 0.0000
3.8215 -2.1903 0.0000
```

Properties
total moment: 0.00 μB/f.u.
energy above the most stable polymorph in this dataset: 401 meV per atom

=====

Entry from Alexandria via LeMat-Bulk: a relaxed Ho5CuTe4 crystal (PBE-GGA).

Geometry as POSCAR:
```
Ho5CuTe4
1.0
-4.7955 4.7955 3.0400
4.7955 -4.7955 3.0400
4.7955 4.7955 -3.0400
Ho Cu Te
5 1 4
Cartesian
0.0000 0.0000 0.0000
3.8733 2.2146 0.0000
2.5809 -0.9222 3.0400
2.2146 5.7177 0.0000
0.9222 2.5809 3.0400
0.0000 0.0000 3.0400
6.6306 0.8380 0.0000
0.8380 2.9604 0.0000
3.9574 1.8351 3.0400
-1.8351 3.9574 3.0400
```

Properties
total moment: 0.00 μB/f.u.

=====

Entry from Alexandria via LeMat-Bulk: a relaxed HoCuTe crystal (PBE-GGA).

Geometry as POSCAR:
```
HoCuTe
1.0
3.6811 -2.1248 0.0000
3.6811 2.1248 0.0000
-2.4778 0.0000 11.3906
Ho Cu Te
2 2 2
Cartesian
-0.0120 0.0000 3.4052
4.8963 0.0000 7.9853
-0.0122 0.0000 6.1667
4.8965 0.0000 5.2238
2.4422 0.0000 1.7705
2.4421 0.0000 9.6201
```

Properties
total moment: 0.00 μB/f.u.

=====

Entry from Alexandria via LeMat-Bulk: a relaxed Ho2CuTe crystal (PBE-GGA).

Geometry as POSCAR:
```
Ho2CuTe
1.0
2.0842 1.2033 7.0418
-2.0842 1.2033 7.0418
0.0000 -2.4066 7.0418
Ho Cu Te
2 1 1
Cartesian
0.0000 0.0000 0.0000
0.0000 0.0000 4.0642
0.0000 0.0000 12.6196
0.0000 0.0000 16.1331
```

Properties
total moment: 0.00 μB/f.u.
energy above the most stable polymorph in this dataset: 72 meV per atom

=====

Entry from Alexandria via LeMat-Bulk: a relaxed Ho7Cu2Te2 crystal (PBE-GGA).

Geometry as POSCAR:
```
Ho7Cu2Te2
1.0
-1.9764 7.7446 4.7898
1.9764 -7.7446 4.7898
1.9764 7.7446 -4.7898
Ho Cu Te
7 2 2
Cartesian
0.0000 0.0000 0.0000
1.9764 5.7379 -0.8299
1.9764 2.8767 1.1372
0.0000 2.0067 3.9599
0.0000 5.5325 2.5112
0.0000 9.9567 2.5112
0.0000 4.8679 5.9270
1.9764 -4.0819 4.0534
1.9764 4.0819 4.0534
1.9764 0.0000 2.5142
0.0000 0.0000 6.3257
```

Properties
total moment: 0.00 μB/f.u.
energy above the most stable polymorph in this dataset: 0 meV per atom

=====

Entry from Alexandria via LeMat-Bulk: a relaxed Ho3CuTe2 crystal (PBE-GGA).

Geometry as POSCAR:
```
Ho3CuTe2
1.0
3.6343 -6.2931 0.0000
3.6343 6.2931 0.0000
-2.4421 0.0000 7.1344
Ho Cu Te
6 2 4
Cartesian
-0.1060 2.2352 5.5142
1.0418 0.0000 1.5715
-0.1060 -2.2352 5.5142
4.9326 2.2352 1.6202
3.7848 0.0000 5.5629
4.9326 -2.2352 1.6202
3.6343 4.1650 0.0000
3.6343 -4.1650 0.0000
-1.2211 0.0000 3.5672
2.4133 1.9673 3.5672
3.6343 0.0000 0.0000
2.4133 -1.9673 3.5672
```

Properties
total moment: 0.00 μB/f.u.

=====

Entry from Alexandria via LeMat-Bulk: a relaxed HoTlCuTe3 crystal (PBE-GGA).

Geometry as POSCAR:
```
HoTlCuTe3
1.0
8.3243 -2.6112 0.0000
8.3243 2.6112 0.0000
-0.9882 0.0000 8.6018
Ho Tl Cu Te
2 2 2 6
Cartesian
2.3232 0.0000 0.2449
13.3372 0.0000 8.3569
2.1344 0.0000 4.4940
13.5260 0.0000 4.1078
7.6482 0.0000 1.5135
8.0122 0.0000 7.0883
-0.6704 0.0000 6.5827
5.0247 0.0000 1.6948
5.4343 0.0000 6.6964
10.2261 0.0000 1.9054
10.6358 0.0000 6.9070
16.3309 0.0000 2.0191
```

Properties
total moment: 0.00 μB/f.u.

=====

Entry from Alexandria via LeMat-Bulk: a relaxed HoTl2Cu2Te4 crystal (PBE-GGA).

Geometry as POSCAR:
```
HoTl2Cu2Te4
1.0
7.8271 -2.0960 0.0000
7.8271 2.0960 0.0000
-2.7612 0.0000 8.1153
Ho Tl Cu Te
1 2 2 4
Cartesian
0.0000 0.0000 0.0000
0.5205 0.0000 4.4904
12.3725 0.0000 3.6250
4.8971 0.0000 0.0641
7.9959 0.0000 8.0512
2.6729 0.0000 1.5327
6.7767 0.0000 1.9507
6.1163 0.0000 6.1646
10.2201 0.0000 6.5826
```

Properties
total moment: 0.00 μB/f.u.

=====

Entry from Alexandria via LeMat-Bulk: a relaxed Ho3Tl4CuTe8 crystal (PBE-GGA).

Geometry as POSCAR:
```
Ho3Tl4CuTe8
1.0
7.6333 -4.3820 0.0000
7.6333 4.3820 0.0000
-5.0889 0.0000 7.9518
Ho Tl Cu Te
3 4 1 8
Cartesian
0.0000 0.0000 0.0000
3.8167 2.1910 0.0000
3.8167 -2.1910 0.0000
-2.5445 0.0000 3.9759
1.2722 2.1910 3.9759
1.2722 -2.1910 3.9759
5.0889 0.0000 3.9759
7.6333 0.0000 0.0000
2.5403 0.0000 1.7320
6.4341 2.0592 1.6150
0.0512 0.0000 6.2691
3.7436 2.0592 6.3368
6.4341 -2.0592 1.6150
10.1265 0.0000 1.6827
3.7436 -2.0592 6.3368
7.6374 0.0000 6.2198
```

Properties
total moment: 0.00 μB/f.u.

=====

Raw formation energy, respectively: -0.68, -0.17, -0.96, -0.17, -1.06, -0.50, -0.68, -0.58, -0.90, -0.56, -0.54, -0.74 eV/atom.
V, respectively: 26.170, 27.344, 30.983, 28.150, 27.964, 29.698, 26.490, 26.661, 27.196, 31.162, 29.586, 33.248 Å³ per atom.
DOS at the Fermi energy, respectively: 3.98, 16.55, 8.23, 13.86, 5.56, 0.55, 3.36, 11.19, 8.85, 3.36, 3.41, 10.49 states/eV/cell.